Compound: ErNpCd2O6
Source: the Alexandria database
Functional: PBE
Structure: optimized geometry

Output
For the density of states at the Fermi level, the calculation gives 13.9 states/eV/cell. The calculation puts the total energy at -144.67 eV for the cell shown. For the energy relative to the elements, uncorrected, the calculation gives -2.325 eV/atom. The value obtained for the total magnetization is 1.99 μB/f.u.

Cell: 5.7183 5.8425 8.4291 Å, 90.00 90.64 90.00°
Last column: nearest neighbours and their distance in Å.
Fractional positions:
Er  0.5000  0.0000  0.0000  6 O 2.24-2.26
Er  0.0000  0.5000  0.5000  6 O 2.24-2.26
Np  0.5000  0.0000  0.5000  6 O 2.12-2.24
Np  0.0000  0.5000  0.0000  6 O 2.12-2.24
Cd  0.0002  0.9588  0.2493  4 O 2.28-2.35
Cd  0.5002  0.5412  0.7493  4 O 2.28-2.35
Cd  0.9998  0.0412  0.7507  4 O 2.28-2.35
Cd  0.4998  0.4588  0.2507  4 O 2.28-2.35
O  0.3127  0.6753  0.0626  1 Np 2.12, 1 Er 2.24, 1 Cd 2.29
O  0.8127  0.8247  0.5626  1 Np 2.12, 1 Er 2.24, 1 Cd 2.29
O  0.6873  0.3247  0.9374  1 Np 2.12, 1 Er 2.24, 1 Cd 2.29
O  0.1873  0.1753  0.4374  1 Np 2.12, 1 Er 2.24, 1 Cd 2.29
O  0.3298  0.6899  0.4346  1 Np 2.13, 1 Er 2.26, 1 Cd 2.28
O  0.8298  0.8101  0.9346  1 Np 2.13, 1 Er 2.26, 1 Cd 2.28
O  0.6702  0.3101  0.5654  1 Np 2.13, 1 Er 2.26, 1 Cd 2.28
O  0.1702  0.1899  0.0654  1 Np 2.13, 1 Er 2.26, 1 Cd 2.28
O  0.8836  0.5733  0.2475  1 Np 2.24, 1 Er 2.26, 2 Cd 2.29-2.35
O  0.3836  0.9267  0.7475  1 Np 2.24, 1 Er 2.26, 2 Cd 2.29-2.35
O  0.1164  0.4267  0.7525  1 Np 2.24, 1 Er 2.26, 2 Cd 2.29-2.35
O  0.6164  0.0733  0.2525  1 Np 2.24, 1 Er 2.26, 2 Cd 2.29-2.35